Density functional theory data (PBE-GGA) for crystalline CaIrBr at its relaxed geometry.

Output
N(E_F) = 1.378 states/eV/atom
Raw formation energy = 0.0773 eV per atom

abc: 3.3763 3.3763 7.0958
angles: 90.00 90.00 120.00
Space group P3m1 (No. 156)
Symmetry-distinct sites (fractional):
1 Ca 0.0000 0.0000 0.0000 (multiplicity 1)
2 Ir 0.6667 0.3333 0.3062 (multiplicity 1)
3 Br 0.3333 0.6667 0.7106 (multiplicity 1)